1.
A plane-wave DFT calculation with PBE-GGA was carried out for LaTa2Sb after structural relaxation.

Calculated values
Size of the total moment ... 0.00 μB per formula unit
N(E_F) ... 1.047 states/eV per atom
Formation energy (no corrections) ... 0.132 eV/atom

Lattice parameters (Å, degrees): 3.199 3.199 9.481 90.00 90.00 106.54
Fractional positions:
1 Ta 0.500 0.500 0.215
2 Ta 0.000 0.000 0.008
3 Sb 0.500 0.500 0.786
4 La 0.000 0.000 0.491

---

2.
A plane-wave DFT calculation with PBE-GGA was carried out for LaTa2Sb after structural relaxation.

Calculated values
Size of the total moment ... 0.00 μB per formula unit
N(E_F) ... 1.196 states/eV per atom
Formation energy (no corrections) ... 0.528 eV/atom

Lattice parameters (Å, degrees): 5.661 5.661 3.047 90.00 90.00 112.21
Fractional positions:
1 Ta 0.500 0.500 0.000
2 Ta 0.000 0.000 0.000
3 La 0.500 0.000 0.500
4 Sb 0.000 0.500 0.500

---

3.
A plane-wave DFT calculation with PBE-GGA was carried out for LaTa2Sb after structural relaxation.

Calculated values
Size of the total moment ... 0.00 μB per formula unit
N(E_F) ... 1.235 states/eV per atom
Formation energy (no corrections) ... 0.457 eV/atom

Lattice parameters (Å, degrees): 3.155 3.155 9.653 90.00 90.00 110.04
Fractional positions:
1 Ta 0.000 0.000 0.973
2 Ta 0.000 0.000 0.527
3 Sb 0.500 0.500 0.750
4 La 0.500 0.500 0.250

---

4.
A plane-wave DFT calculation with PBE-GGA was carried out for LaTa2Sb after structural relaxation.

Calculated values
Size of the total moment ... 0.00 μB per formula unit
N(E_F) ... 1.100 states/eV per atom
Formation energy (no corrections) ... 0.301 eV/atom

Lattice parameters (Å, degrees): 4.234 4.625 4.578 90.00 90.00 90.00
Fractional positions:
1 Ta 0.500 0.500 0.000
2 Ta 0.000 0.000 0.000
3 Sb 0.000 0.500 0.500
4 La 0.500 0.000 0.500

---

5.
A plane-wave DFT calculation with PBE-GGA was carried out for La2Ta2Sb after structural relaxation.

Calculated values
Size of the total moment ... 0.00 μB per formula unit
N(E_F) ... 1.082 states/eV per atom
Distance to the lowest polymorph of the same formula ... 0.000 eV per atom
Formation energy (no corrections) ... 0.130 eV/atom

Lattice parameters (Å, degrees): 3.837 3.837 10.165 79.12 79.12 90.00
Fractional positions:
1 Ta 0.250 0.750 0.500
2 Ta 0.750 0.250 0.500
3 Sb 0.000 0.000 0.000
4 La 0.396 0.396 0.209
5 La 0.604 0.604 0.791

---

6.
A plane-wave DFT calculation with PBE-GGA was carried out for LaTa2Sb after structural relaxation.

Calculated values
Size of the total moment ... 0.00 μB per formula unit
N(E_F) ... 0.933 states/eV per atom
Formation energy (no corrections) ... 0.274 eV/atom

Lattice parameters (Å, degrees): 5.914 5.914 5.914 142.51 131.42 62.93
Fractional positions:
1 La 0.481 0.481 0.000
2 Sb 0.752 0.252 0.500
3 Ta 0.230 0.730 0.500
4 Ta 0.037 0.037 0.000